[1]
Material: MnCoO4
Method: DFT, SCAN
State: PBEsol geometry

Values from the calculation:
- calculated density (g cm⁻³) = 4.648
- raw total energy (eV/atom) = -11.620
- formation energy (no corrections) (kJ/mol of formula units) = -891
- SG = P2/m, No. 10

CIF file:
```
data_MnCoO4
_cell_length_a 2.815
_cell_length_b 4.865
_cell_length_c 4.926
_cell_angle_alpha 109.62
_cell_angle_beta 90.00
_cell_angle_gamma 90.00
_space_group_name_H-M_alt 'P 1'
_space_group_IT_number 1
loop_
_space_group_symop_operation_xyz
'x,y,z'
loop_
_atom_site_label
_atom_site_type_symbol
_atom_site_fract_x
_atom_site_fract_y
_atom_site_fract_z
O1 O 0.000 0.762 0.296
O2 O 0.000 0.238 0.704
O3 O 0.500 0.730 0.700
O4 O 0.500 0.270 0.300
Mn1 Mn 0.500 0.000 0.500
Co1 Co 0.000 0.500 0.500
```

***

[2]
Material: Mn2CoO4
Method: DFT, SCAN
State: PBEsol geometry

Values from the calculation:
- calculated density (g cm⁻³) = 5.825
- raw total energy (eV/atom) = -13.066
- formation energy (no corrections) (kJ/mol of formula units) = -1227
- SG = Fd-3m, No. 227

CIF file:
```
data_Mn2CoO4
_cell_length_a 5.726
_cell_length_b 5.725
_cell_length_c 5.726
_cell_angle_alpha 120.01
_cell_angle_beta 90.00
_cell_angle_gamma 120.01
_space_group_name_H-M_alt 'P 1'
_space_group_IT_number 1
loop_
_space_group_symop_operation_xyz
'x,y,z'
loop_
_atom_site_label
_atom_site_type_symbol
_atom_site_fract_x
_atom_site_fract_y
_atom_site_fract_z
O1 O 0.843 0.229 0.614
O2 O 0.386 0.229 0.614
O3 O 0.407 0.271 0.136
O4 O 0.864 0.729 0.136
O5 O 0.864 0.271 0.136
O6 O 0.864 0.729 0.593
O7 O 0.386 0.771 0.157
O8 O 0.386 0.771 0.614
Mn1 Mn 0.625 0.250 0.875
Mn2 Mn 0.125 0.750 0.375
Mn3 Mn 0.625 0.750 0.375
Mn4 Mn 0.625 0.250 0.375
Co1 Co 0.250 0.500 0.750
Co2 Co 0.000 0.000 0.000
```

***

[3]
Material: MnCo3O8
Method: DFT, SCAN
State: PBEsol geometry

Values from the calculation:
- calculated density (g cm⁻³) = 4.870
- raw total energy (eV/atom) = -11.281
- formation energy (no corrections) (kJ/mol of formula units) = -1481
- SG = P4_332, No. 212

CIF file:
```
data_MnCo3O8
_cell_length_a 7.887
_cell_length_b 7.887
_cell_length_c 7.887
_cell_angle_alpha 90.00
_cell_angle_beta 90.00
_cell_angle_gamma 90.00
_space_group_name_H-M_alt 'P 1'
_space_group_IT_number 1
loop_
_space_group_symop_operation_xyz
'x,y,z'
loop_
_atom_site_label
_atom_site_type_symbol
_atom_site_fract_x
_atom_site_fract_y
_atom_site_fract_z
O1 O 0.143 0.357 0.643
O2 O 0.114 0.390 0.111
O3 O 0.389 0.886 0.890
O4 O 0.864 0.639 0.640
O5 O 0.110 0.889 0.614
O6 O 0.857 0.857 0.857
O7 O 0.364 0.861 0.360
O8 O 0.886 0.890 0.389
O9 O 0.614 0.110 0.889
O10 O 0.893 0.107 0.607
O11 O 0.361 0.140 0.636
O12 O 0.889 0.614 0.110
O13 O 0.140 0.636 0.361
O14 O 0.136 0.139 0.860
O15 O 0.390 0.111 0.114
O16 O 0.643 0.143 0.357
O17 O 0.357 0.643 0.143
O18 O 0.611 0.386 0.610
O19 O 0.607 0.893 0.107
O20 O 0.386 0.610 0.611
O21 O 0.610 0.611 0.386
O22 O 0.107 0.607 0.893
O23 O 0.861 0.360 0.364
O24 O 0.139 0.860 0.136
O25 O 0.636 0.361 0.140
O26 O 0.640 0.864 0.639
O27 O 0.890 0.389 0.886
O28 O 0.860 0.136 0.139
O29 O 0.393 0.393 0.393
O30 O 0.360 0.364 0.861
O31 O 0.639 0.640 0.864
O32 O 0.111 0.114 0.390
Co1 Co 0.625 0.125 0.125
Co2 Co 0.625 0.875 0.875
Co3 Co 0.125 0.125 0.625
Co4 Co 0.375 0.625 0.375
Co5 Co 0.875 0.625 0.875
Co6 Co 0.375 0.875 0.125
Co7 Co 0.875 0.125 0.375
Co8 Co 0.625 0.375 0.375
Co9 Co 0.875 0.875 0.625
Co10 Co 0.125 0.375 0.875
Co11 Co 0.375 0.375 0.625
Co12 Co 0.125 0.625 0.125
Mn1 Mn 0.125 0.875 0.375
Mn2 Mn 0.875 0.375 0.125
Mn3 Mn 0.625 0.625 0.625
Mn4 Mn 0.375 0.125 0.875
```

***

[4]
Material: MnCoPO2
Method: DFT, SCAN
State: PBEsol geometry

Values from the calculation:
- calculated density (g cm⁻³) = 4.863
- raw total energy (eV/atom) = -12.188
- formation energy (no corrections) (kJ/mol of formula units) = -243
- SG = P4/mmm, No. 123

CIF file:
```
data_MnCoPO2
_cell_length_a 3.536
_cell_length_b 3.536
_cell_length_c 4.830
_cell_angle_alpha 90.00
_cell_angle_beta 90.00
_cell_angle_gamma 90.00
_space_group_name_H-M_alt 'P 1'
_space_group_IT_number 1
loop_
_space_group_symop_operation_xyz
'x,y,z'
loop_
_atom_site_label
_atom_site_type_symbol
_atom_site_fract_x
_atom_site_fract_y
_atom_site_fract_z
Co1 Co 0.000 0.000 0.000
Mn1 Mn 0.500 0.500 0.500
O1 O 0.500 0.000 0.000
O2 O 0.000 0.500 0.000
P1 P 0.000 0.000 0.500
```

***

[5]
Material: MnCoP2O8
Method: DFT, SCAN
State: PBEsol geometry

Values from the calculation:
- calculated density (g cm⁻³) = 3.703
- raw total energy (eV/atom) = -10.970
- formation energy (no corrections) (kJ/mol of formula units) = -2454
- SG = R3, No. 146

CIF file:
```
data_MnCoP2O8
_cell_length_a 8.240
_cell_length_b 8.240
_cell_length_c 8.240
_cell_angle_alpha 61.47
_cell_angle_beta 61.47
_cell_angle_gamma 61.47
_space_group_name_H-M_alt 'P 1'
_space_group_IT_number 1
loop_
_space_group_symop_operation_xyz
'x,y,z'
loop_
_atom_site_label
_atom_site_type_symbol
_atom_site_fract_x
_atom_site_fract_y
_atom_site_fract_z
Mn1 Mn 0.639 0.639 0.639
Mn2 Mn 0.361 0.361 0.361
Mn3 Mn 0.139 0.139 0.139
O1 O 0.951 0.738 0.096
O2 O 0.757 0.551 0.417
O3 O 0.616 0.814 0.012
O4 O 0.012 0.616 0.814
O5 O 0.495 0.689 0.874
O6 O 0.053 0.254 0.916
O7 O 0.998 0.376 0.185
O8 O 0.096 0.951 0.738
O9 O 0.591 0.245 0.432
O10 O 0.254 0.916 0.053
O11 O 0.916 0.053 0.254
O12 O 0.551 0.417 0.757
O13 O 0.432 0.591 0.245
O14 O 0.489 0.333 0.118
O15 O 0.738 0.096 0.951
O16 O 0.689 0.874 0.495
O17 O 0.333 0.118 0.489
O18 O 0.245 0.432 0.591
O19 O 0.376 0.185 0.998
O20 O 0.185 0.998 0.376
O21 O 0.118 0.489 0.333
O22 O 0.874 0.495 0.689
O23 O 0.417 0.757 0.551
O24 O 0.814 0.012 0.616
P1 P 0.254 0.963 0.536
P2 P 0.753 0.039 0.459
P3 P 0.963 0.536 0.254
P4 P 0.039 0.459 0.753
P5 P 0.459 0.753 0.039
P6 P 0.536 0.254 0.963
Co1 Co 0.862 0.862 0.862
Co2 Co 0.499 0.499 0.499
Co3 Co 0.997 0.997 0.997
```

***

[6]
Material: Ti3MnCo2P6O24
Method: DFT, SCAN
State: PBEsol geometry

Values from the calculation:
- calculated density (g cm⁻³) = 3.413
- raw total energy (eV/atom) = -11.215
- formation energy (no corrections) (kJ/mol of formula units) = -8766
- SG = R3, No. 146

CIF file:
```
data_Ti3MnCo2P6O24
_cell_length_a 8.379
_cell_length_b 8.379
_cell_length_c 8.379
_cell_angle_alpha 61.63
_cell_angle_beta 61.63
_cell_angle_gamma 61.63
_space_group_name_H-M_alt 'P 1'
_space_group_IT_number 1
loop_
_space_group_symop_operation_xyz
'x,y,z'
loop_
_atom_site_label
_atom_site_type_symbol
_atom_site_fract_x
_atom_site_fract_y
_atom_site_fract_z
O1 O 0.437 0.241 0.591
O2 O 0.739 0.952 0.093
O3 O 0.181 0.380 0.002
O4 O 0.556 0.758 0.409
O5 O 0.910 0.260 0.054
O6 O 0.007 0.819 0.614
O7 O 0.260 0.054 0.910
O8 O 0.380 0.002 0.181
O9 O 0.054 0.910 0.260
O10 O 0.758 0.409 0.556
O11 O 0.591 0.437 0.241
O12 O 0.329 0.488 0.114
O13 O 0.819 0.614 0.007
O14 O 0.002 0.181 0.380
O15 O 0.506 0.880 0.681
O16 O 0.093 0.739 0.952
O17 O 0.114 0.329 0.488
O18 O 0.488 0.114 0.329
O19 O 0.614 0.007 0.819
O20 O 0.952 0.093 0.739
O21 O 0.880 0.681 0.506
O22 O 0.409 0.556 0.758
O23 O 0.241 0.591 0.437
O24 O 0.681 0.506 0.880
P1 P 0.249 0.543 0.957
P2 P 0.042 0.751 0.460
P3 P 0.460 0.042 0.751
P4 P 0.751 0.460 0.042
P5 P 0.957 0.249 0.543
P6 P 0.543 0.957 0.249
Co1 Co 0.001 0.001 0.001
Co2 Co 0.499 0.499 0.499
Ti1 Ti 0.640 0.640 0.640
Ti2 Ti 0.359 0.359 0.359
Ti3 Ti 0.139 0.139 0.139
Mn1 Mn 0.860 0.860 0.860
```

***

[7]
Material: MnV3Co2P6O24
Method: DFT, SCAN
State: PBEsol geometry

Values from the calculation:
- calculated density (g cm⁻³) = 3.528
- raw total energy (eV/atom) = -11.143
- formation energy (no corrections) (kJ/mol of formula units) = -8094
- SG = R3, No. 146

CIF file:
```
data_MnV3Co2P6O24
_cell_length_a 8.325
_cell_length_b 8.325
_cell_length_c 8.325
_cell_angle_alpha 61.47
_cell_angle_beta 61.47
_cell_angle_gamma 61.47
_space_group_name_H-M_alt 'P 1'
_space_group_IT_number 1
loop_
_space_group_symop_operation_xyz
'x,y,z'
loop_
_atom_site_label
_atom_site_type_symbol
_atom_site_fract_x
_atom_site_fract_y
_atom_site_fract_z
O1 O 0.377 0.185 0.000
O2 O 0.000 0.377 0.185
O3 O 0.616 0.820 0.005
O4 O 0.879 0.500 0.684
O5 O 0.005 0.616 0.820
O6 O 0.185 0.000 0.377
O7 O 0.738 0.090 0.953
O8 O 0.258 0.911 0.056
O9 O 0.820 0.005 0.616
O10 O 0.757 0.558 0.410
O11 O 0.056 0.258 0.911
O12 O 0.911 0.056 0.258
O13 O 0.684 0.879 0.500
O14 O 0.117 0.489 0.328
O15 O 0.953 0.738 0.090
O16 O 0.500 0.684 0.879
O17 O 0.241 0.440 0.588
O18 O 0.558 0.410 0.757
O19 O 0.588 0.241 0.440
O20 O 0.489 0.328 0.117
O21 O 0.410 0.757 0.558
O22 O 0.090 0.953 0.738
O23 O 0.440 0.588 0.241
O24 O 0.328 0.117 0.489
P1 P 0.041 0.460 0.751
P2 P 0.540 0.251 0.959
P3 P 0.460 0.751 0.041
P4 P 0.751 0.041 0.460
P5 P 0.959 0.540 0.251
P6 P 0.251 0.959 0.540
V1 V 0.359 0.359 0.359
V2 V 0.640 0.640 0.640
V3 V 0.139 0.139 0.139
Co1 Co 0.499 0.499 0.499
Co2 Co 0.000 0.000 0.000
Mn1 Mn 0.861 0.861 0.861
```

***

[8]
Material: Mn2V3CoP6O24
Method: DFT, SCAN
State: PBEsol geometry

Values from the calculation:
- calculated density (g cm⁻³) = 3.432
- raw total energy (eV/atom) = -11.250
- formation energy (no corrections) (kJ/mol of formula units) = -8373
- SG = R3, No. 146

CIF file:
```
data_Mn2V3CoP6O24
_cell_length_a 8.440
_cell_length_b 8.440
_cell_length_c 8.440
_cell_angle_alpha 60.65
_cell_angle_beta 60.65
_cell_angle_gamma 60.65
_space_group_name_H-M_alt 'P 1'
_space_group_IT_number 1
loop_
_space_group_symop_operation_xyz
'x,y,z'
loop_
_atom_site_label
_atom_site_type_symbol
_atom_site_fract_x
_atom_site_fract_y
_atom_site_fract_z
V1 V 0.141 0.141 0.141
V2 V 0.356 0.356 0.356
V3 V 0.644 0.644 0.644
O1 O 0.916 0.055 0.259
O2 O 0.689 0.878 0.500
O3 O 0.760 0.557 0.416
O4 O 0.810 0.016 0.615
O5 O 0.374 0.192 0.998
O6 O 0.732 0.091 0.954
O7 O 0.091 0.954 0.732
O8 O 0.557 0.416 0.760
O9 O 0.587 0.242 0.430
O10 O 0.192 0.998 0.374
O11 O 0.242 0.430 0.587
O12 O 0.500 0.689 0.878
O13 O 0.878 0.500 0.689
O14 O 0.430 0.587 0.242
O15 O 0.615 0.810 0.016
O16 O 0.998 0.374 0.192
O17 O 0.485 0.329 0.116
O18 O 0.259 0.916 0.055
O19 O 0.416 0.760 0.557
O20 O 0.016 0.615 0.810
O21 O 0.329 0.116 0.485
O22 O 0.055 0.259 0.916
O23 O 0.954 0.732 0.091
O24 O 0.116 0.485 0.329
P1 P 0.538 0.253 0.958
P2 P 0.043 0.459 0.752
P3 P 0.459 0.752 0.043
P4 P 0.752 0.043 0.459
P5 P 0.958 0.538 0.253
P6 P 0.253 0.958 0.538
Co1 Co 0.858 0.858 0.858
Mn1 Mn 0.996 0.996 0.996
Mn2 Mn 0.499 0.499 0.499
```

***

[9]
Material: Mn3Co3Te2O16
Method: DFT, SCAN
State: PBEsol geometry

Values from the calculation:
- calculated density (g cm⁻³) = 5.595
- raw total energy (eV/atom) = -13.215
- formation energy (no corrections) (kJ/mol of formula units) = -3501
- SG = Cm, No. 8

CIF file:
```
data_Mn3Co3Te2O16
_cell_length_a 5.607
_cell_length_b 5.607
_cell_length_c 9.261
_cell_angle_alpha 90.37
_cell_angle_beta 90.37
_cell_angle_gamma 60.38
_space_group_name_H-M_alt 'P 1'
_space_group_IT_number 1
loop_
_space_group_symop_operation_xyz
'x,y,z'
loop_
_atom_site_label
_atom_site_type_symbol
_atom_site_fract_x
_atom_site_fract_y
_atom_site_fract_z
O1 O 0.027 0.488 0.824
O2 O 0.667 0.667 0.115
O3 O 0.514 0.971 0.339
O4 O 0.002 0.002 0.809
O5 O 0.680 0.159 0.106
O6 O 0.159 0.680 0.106
O7 O 0.839 0.839 0.594
O8 O 0.840 0.319 0.595
O9 O 0.516 0.516 0.332
O10 O 0.002 0.002 0.316
O11 O 0.488 0.027 0.824
O12 O 0.336 0.336 0.606
O13 O 0.153 0.154 0.105
O14 O 0.486 0.486 0.830
O15 O 0.319 0.840 0.595
O16 O 0.971 0.514 0.339
Co1 Co 0.171 0.171 0.709
Co2 Co 0.339 0.831 0.219
Co3 Co 0.831 0.340 0.219
Te1 Te 0.328 0.328 0.998
Te2 Te 0.665 0.665 0.489
Mn1 Mn 0.833 0.833 0.218
Mn2 Mn 0.660 0.171 0.714
Mn3 Mn 0.171 0.660 0.714
```

***

[10]
Material: Ti2Mn3Co3O16
Method: DFT, SCAN
State: PBEsol geometry

Values from the calculation:
- calculated density (g cm⁻³) = 4.785
- raw total energy (eV/atom) = -11.919
- formation energy (no corrections) (kJ/mol of formula units) = -4595
- SG = Cm, No. 8

CIF file:
```
data_Ti2Mn3Co3O16
_cell_length_a 5.567
_cell_length_b 5.567
_cell_length_c 8.925
_cell_angle_alpha 89.51
_cell_angle_beta 89.51
_cell_angle_gamma 60.43
_space_group_name_H-M_alt 'P 1'
_space_group_IT_number 1
loop_
_space_group_symop_operation_xyz
'x,y,z'
loop_
_atom_site_label
_atom_site_type_symbol
_atom_site_fract_x
_atom_site_fract_y
_atom_site_fract_z
O1 O 0.965 0.521 0.833
O2 O 0.521 0.965 0.833
O3 O 0.838 0.838 0.106
O4 O 0.517 0.517 0.835
O5 O 0.034 0.481 0.334
O6 O 0.166 0.166 0.600
O7 O 0.834 0.330 0.101
O8 O 0.330 0.834 0.101
O9 O 0.163 0.673 0.601
O10 O 0.335 0.335 0.106
O11 O 0.481 0.481 0.328
O12 O 0.999 0.999 0.819
O13 O 0.995 0.995 0.316
O14 O 0.481 0.034 0.334
O15 O 0.667 0.667 0.603
O16 O 0.673 0.163 0.601
Co1 Co 0.832 0.832 0.712
Co2 Co 0.165 0.663 0.213
Co3 Co 0.663 0.165 0.213
Mn1 Mn 0.167 0.167 0.214
Mn2 Mn 0.336 0.833 0.714
Mn3 Mn 0.833 0.336 0.714
Ti1 Ti 0.337 0.337 0.492
Ti2 Ti 0.666 0.666 0.994
```

***

[11]
Material: MnV4CoO12
Method: DFT, SCAN
State: PBEsol geometry

Values from the calculation:
- calculated density (g cm⁻³) = 3.607
- raw total energy (eV/atom) = -12.380
- formation energy (no corrections) (kJ/mol of formula units) = -4106
- SG = C2, No. 5

CIF file:
```
data_MnV4CoO12
_cell_length_a 5.752
_cell_length_b 6.615
_cell_length_c 6.615
_cell_angle_alpha 83.98
_cell_angle_beta 74.97
_cell_angle_gamma 74.97
_space_group_name_H-M_alt 'P 1'
_space_group_IT_number 1
loop_
_space_group_symop_operation_xyz
'x,y,z'
loop_
_atom_site_label
_atom_site_type_symbol
_atom_site_fract_x
_atom_site_fract_y
_atom_site_fract_z
V1 V 0.996 0.205 0.389
V2 V 0.492 0.391 0.206
V3 V 0.508 0.794 0.609
V4 V 0.004 0.611 0.795
O1 O 0.305 0.624 0.656
O2 O 0.398 0.966 0.806
O3 O 0.191 0.377 0.349
O4 O 0.602 0.194 0.034
O5 O 0.986 0.082 0.625
O6 O 0.809 0.651 0.623
O7 O 0.114 0.035 0.189
O8 O 0.014 0.375 0.918
O9 O 0.478 0.629 0.090
O10 O 0.522 0.910 0.371
O11 O 0.695 0.344 0.376
O12 O 0.886 0.811 0.965
Mn1 Mn 0.000 0.082 0.918
Co1 Co 0.500 0.917 0.083
```

***

[12]
Material: MnCoOs3
Method: DFT, SCAN
State: PBEsol geometry

Values from the calculation:
- calculated density (g cm⁻³) = 14.022
- raw total energy (eV/atom) = -48.327
- SG = Pm-3m, No. 221

CIF file:
```
data_MnCoOs3
_cell_length_a 4.328
_cell_length_b 4.328
_cell_length_c 4.328
_cell_angle_alpha 90.00
_cell_angle_beta 90.00
_cell_angle_gamma 90.00
_space_group_name_H-M_alt 'P 1'
_space_group_IT_number 1
loop_
_space_group_symop_operation_xyz
'x,y,z'
loop_
_atom_site_label
_atom_site_type_symbol
_atom_site_fract_x
_atom_site_fract_y
_atom_site_fract_z
Os1 Os 0.000 0.000 0.500
Os2 Os 0.000 0.500 0.000
Os3 Os 0.500 0.000 0.000
Mn1 Mn 0.000 0.000 0.000
Co1 Co 0.500 0.500 0.500
```